SmCuTe3Pb | PBE-GGA | optimized geometry

```
12
Lattice="9.292 0.000 0.000 0.000 4.332 0.000 -2.354 0.000 9.411" Properties=species:S:1:pos:R:3 pbc="T T T"
Sm 1.233 1.083 1.600
Sm 5.705 3.249 7.811
Cu 2.950 3.249 4.009
Cu 3.988 1.083 5.402
Te -1.318 1.083 7.824
Te 1.429 1.083 4.671
Te 3.457 3.249 1.301
Te 3.481 1.083 8.109
Te 5.509 3.249 4.740
Te 8.256 3.249 1.587
Pb 1.130 3.249 7.198
Pb 5.808 1.083 2.213
```

Properties
ΔE_f (raw) ... -4.28 eV/f.u.
Space-group type ... P2_1/m, No. 11

=====

Pm3Tl3VSe8 | PBE-GGA | optimized geometry

```
15
Lattice="4.142 2.391 7.770 -4.142 2.391 7.770 0.000 -4.783 7.770" Properties=species:S:1:pos:R:3 pbc="T T T"
Pm -2.071 -1.196 7.770
Pm -2.071 1.196 15.539
Pm 0.000 2.391 7.770
Tl -4.142 0.000 11.654
Tl -2.071 1.196 3.885
Tl 2.071 1.196 3.885
V 0.000 0.000 0.000
Se 0.000 -2.651 9.290
Se -2.296 1.326 9.290
Se -2.296 -1.326 14.019
Se 0.000 0.000 6.103
Se 0.000 0.000 17.206
Se 2.296 1.326 9.290
Se 2.296 -1.326 14.019
Se 0.000 2.651 14.019
```

Properties
ΔE_f (raw) ... -17.46 eV/f.u.
D(E_F) ... 6.45 states/eV per cell
Space-group type ... R-3m, No. 166

=====

KBaCa2Cd | PBE-GGA | optimized geometry

```
5
Lattice="6.248 0.000 0.000 0.000 6.248 0.000 0.000 0.000 6.626" Properties=species:S:1:pos:R:3 pbc="T T T"
K 0.000 0.000 0.000
Ba 3.124 3.124 0.000
Ca 0.000 3.124 3.313
Ca 3.124 0.000 3.313
Cd 3.124 3.124 3.313
```

Properties
Formation energy ... 0.017 eV per atom
D(E_F) ... 4.78 states/eV per cell
Space-group type ... P4/mmm, No. 123

=====

NaSr4Ag2 | PBE-GGA | optimized geometry

```
14
Lattice="2.941 -5.101 0.000 2.941 5.101 0.000 0.000 0.000 17.600" Properties=species:S:1:pos:R:3 pbc="T T T"
Na 2.941 5.090 13.200
Na 2.941 -5.090 4.400
Sr 0.000 0.000 0.000
Sr 0.000 0.000 8.800
Sr 2.941 1.707 2.102
Sr 2.941 1.707 6.698
Sr 2.941 1.691 13.200
Sr 2.941 -1.691 4.400
Sr 2.941 -1.707 10.902
Sr 2.941 -1.707 15.498
Ag 2.941 1.691 9.966
Ag 2.941 1.691 16.434
Ag 2.941 -1.691 1.166
Ag 2.941 -1.691 7.634
```

Properties
Formation energy ... -0.104 eV per atom
D(E_F) ... 15.31 states/eV per cell
ΔE to the lowest computed polymorph ... 0 kJ/mol of formula units
Space-group type ... Cmcm, No. 63

=====

NaTcSCl2 | PBE-GGA | optimized geometry

```
5
Lattice="4.840 0.000 0.000 0.000 4.840 0.000 0.000 0.000 5.223" Properties=species:S:1:pos:R:3 pbc="T T T"
Na 0.000 0.000 0.000
Tc 2.420 2.420 2.611
S 0.000 0.000 2.611
Cl 0.000 2.420 0.000
Cl 2.420 0.000 0.000
```

Properties
ΔE_f (raw) ... 2.45 eV/f.u.
D(E_F) ... 3.36 states/eV per cell
ΔE to the lowest computed polymorph ... 528 kJ/mol of formula units
Space-group type ... P4/mmm, No. 123

=====

CsCo3Ge | PBE-GGA | optimized geometry

```
5
Lattice="4.759 0.000 0.000 0.000 4.759 0.000 0.000 0.000 4.759" Properties=species:S:1:pos:R:3 pbc="T T T"
Cs 0.000 0.000 0.000
Co 0.000 2.379 2.379
Co 2.379 0.000 2.379
Co 2.379 2.379 0.000
Ge 2.379 2.379 2.379
```

Properties
Formation energy ... 1.035 eV per atom
D(E_F) ... 5.17 states/eV per cell
ΔE to the lowest computed polymorph ... 0 kJ/mol of formula units
Space-group type ... Pm-3m, No. 221

=====

PaVSi2Ru | PBE-GGA | optimized geometry

```
10
Lattice="4.077 0.000 0.000 0.000 4.077 0.000 0.000 0.000 10.110" Properties=species:S:1:pos:R:3 pbc="T T T"
Pa 0.000 0.000 0.000
Pa 2.038 2.038 5.055
V 0.000 2.038 2.528
V 2.038 0.000 7.583
Si 0.000 0.000 3.864
Si 0.000 0.000 6.246
Si 2.038 2.038 1.191
Si 2.038 2.038 8.920
Ru 0.000 2.038 7.583
Ru 2.038 0.000 2.528
```

Properties
ΔE_f (raw) ... -3.13 eV/f.u.
D(E_F) ... 11.52 states/eV per cell
Space-group type ... I-4m2, No. 119

=====

Er6AlPd | PBE-GGA | optimized geometry

```
16
Lattice="4.898 0.000 0.000 0.000 4.898 0.000 0.000 0.000 17.719" Properties=species:S:1:pos:R:3 pbc="T T T"
Er 0.000 0.000 4.378
Er 0.000 0.000 13.341
Er 0.000 2.449 1.855
Er 0.000 2.449 7.005
Er 0.000 2.449 10.714
Er 0.000 2.449 15.864
Er 2.449 0.000 1.855
Er 2.449 0.000 7.005
Er 2.449 0.000 10.714
Er 2.449 0.000 15.864
Er 2.449 2.449 4.481
Er 2.449 2.449 13.238
Al 0.000 0.000 0.000
Al 2.449 2.449 8.860
Pd 0.000 0.000 8.860
Pd 2.449 2.449 0.000
```

Properties
Formation energy ... -0.275 eV per atom
D(E_F) ... 19.23 states/eV per cell
Space-group type ... I4/mmm, No. 139

=====

Quick rundown of E, same order as above: -0.321; -0.371; -0.115; -0.152; -0.251; -0.318; -0.615; -0.354 Ry per atom
Quick rundown of M_tot, same order as above: 0.0; 1.1; 0.0; 0.0; 4.0; 5.7; 4.4; 0.0 μB/cell
Quick rundown of volume, same order as above: 379; 462; 259; 528; 122; 108; 168; 425 Å³ per cell